Here is an optimized crystal structure of CsCdN2 from Alexandria. Energies are from PBE-GGA.

Values from the calculation:
ΔE to the lowest computed polymorph = 24 kJ/mol of formula units
ΔE_f (raw) = 1470 meV per atom
Space-group type = R-3m, No. 166

a = 7.350 Å, b = 7.350 Å, c = 7.350 Å
α = 29.02°, β = 29.02°, γ = 29.02°
Element x y z (fractional)
N (0.120, 0.120, 0.120)
Cd (0.500, 0.500, 0.500)
N (0.880, 0.880, 0.880)
Cs (0.000, 0.000, 0.000)



Here is an optimized crystal structure of KTaAu from Alexandria. Energies are from PBE-GGA.

Values from the calculation:
ΔE to the lowest computed polymorph = 238 kJ/mol of formula units
Space-group type = F-43m, No. 216

a = 4.848 Å, b = 4.848 Å, c = 4.848 Å
α = 60.00°, β = 60.00°, γ = 60.00°
Last column: magnetic moment on the atom in μB.
Element x y z (fractional)
Ta (0.500, 0.500, 0.500)  0.73
K (0.000, 0.000, 0.000)  0.02
Au (0.750, 0.750, 0.750)  0.00



Here is an optimized crystal structure of BaHg2SbPb2 from Alexandria. Energies are from PBE-GGA.

Values from the calculation:
ΔE_f (raw) = -33 meV per atom
Space-group type = I4/mmm, No. 139

a = 5.929 Å, b = 5.929 Å, c = 7.662 Å
α = 112.76°, β = 112.76°, γ = 90.00°
Element x y z (fractional)
Hg (0.774, 0.774, 0.549)
Ba (0.500, 0.500, 0.000)
Sb (0.000, 0.000, 0.000)
Pb (0.250, 0.750, 0.500)
Pb (0.750, 0.250, 0.500)
Hg (0.226, 0.226, 0.451)



| no. | calculated density (Mg/m³) | total moment (μB per cell) |
| --- | --- | --- |
| 1 | 5.491 | 0.000 |
| 2 | 8.594 | 1.060 |
| 3 | 7.915 | 0.000 |